# PBE Tc2IrOsCl, relaxed
data_Tc2IrOsCl
_symmetry_space_group_name_H-M 'P 1'
_symmetry_Int_Tables_number 1
_symmetry_space_group_name_Hall 'P 1'
_cell_length_a 4.8340
_cell_length_b 4.8340
_cell_length_c 4.7477
_cell_angle_alpha 90.00
_cell_angle_beta 90.00
_cell_angle_gamma 90.00
loop_
_atom_site_label
_atom_site_fract_x
_atom_site_fract_y
_atom_site_fract_z
_atom_site_occupancy
Tc1 0.0000 0.5000 0.0000 1
Tc2 0.5000 0.0000 0.0000 1
Ir1 0.0000 0.0000 0.5000 1
Os1 0.0000 0.0000 0.0000 1
Cl1 0.5000 0.5000 0.5000 1
# Formation energy from raw total energies: 1.82 eV per atom


# PBE PIr2Cl, relaxed
data_PIr2Cl
_symmetry_space_group_name_H-M 'P 1'
_symmetry_Int_Tables_number 1
_symmetry_space_group_name_Hall 'P 1'
_cell_length_a 3.1211
_cell_length_b 3.1211
_cell_length_c 7.9550
_cell_angle_alpha 90.00
_cell_angle_beta 90.00
_cell_angle_gamma 123.83
loop_
_atom_site_label
_atom_site_fract_x
_atom_site_fract_y
_atom_site_fract_z
_atom_site_occupancy
P1 0.0000 0.0000 0.0000 1
Ir1 0.5000 0.5000 0.2173 1
Ir2 0.5000 0.5000 0.7827 1
Cl1 0.0000 0.0000 0.5000 1
# Formation energy from raw total energies: 0.33 eV per atom


# PBE P2IrCl, relaxed
data_P2IrCl
_symmetry_space_group_name_H-M 'P 1'
_symmetry_Int_Tables_number 1
_symmetry_space_group_name_Hall 'P 1'
_cell_length_a 5.8222
_cell_length_b 5.8222
_cell_length_c 5.8222
_cell_angle_alpha 151.60
_cell_angle_beta 133.96
_cell_angle_gamma 54.99
loop_
_atom_site_label
_atom_site_fract_x
_atom_site_fract_y
_atom_site_fract_z
_atom_site_occupancy
P1 0.1952 0.1952 0.0000 1
P2 0.8048 0.8048 0.0000 1
Ir1 0.0000 0.5000 0.5000 1
Cl1 0.5000 0.0000 0.5000 1
# Formation energy from raw total energies: 0.48 eV per atom


# PBE PIr2Cl, relaxed
data_PIr2Cl
_symmetry_space_group_name_H-M 'P 1'
_symmetry_Int_Tables_number 1
_symmetry_space_group_name_Hall 'P 1'
_cell_length_a 4.4024
_cell_length_b 4.4024
_cell_length_c 2.9960
_cell_angle_alpha 90.00
_cell_angle_beta 90.00
_cell_angle_gamma 90.00
loop_
_atom_site_label
_atom_site_fract_x
_atom_site_fract_y
_atom_site_fract_z
_atom_site_occupancy
P1 0.0000 0.0000 0.0000 1
Ir1 0.0000 0.5000 0.5000 1
Ir2 0.5000 0.0000 0.5000 1
Cl1 0.5000 0.5000 0.0000 1
# Formation energy from raw total energies: 0.79 eV per atom


# PBE P2IrCl, relaxed
data_P2IrCl
_symmetry_space_group_name_H-M 'P 1'
_symmetry_Int_Tables_number 1
_symmetry_space_group_name_Hall 'P 1'
_cell_length_a 3.3662
_cell_length_b 3.3662
_cell_length_c 8.8950
_cell_angle_alpha 90.00
_cell_angle_beta 90.00
_cell_angle_gamma 126.81
loop_
_atom_site_label
_atom_site_fract_x
_atom_site_fract_y
_atom_site_fract_z
_atom_site_occupancy
P1 0.0000 0.0000 0.0000 1
P2 0.5000 0.5000 0.1789 1
Ir1 0.5000 0.5000 0.8010 1
Cl1 0.0000 0.0000 0.5827 1
# Formation energy from raw total energies: 0.48 eV per atom


# PBE P2IrCl, relaxed
data_P2IrCl
_symmetry_space_group_name_H-M 'P 1'
_symmetry_Int_Tables_number 1
_symmetry_space_group_name_Hall 'P 1'
_cell_length_a 3.6781
_cell_length_b 3.5807
_cell_length_c 7.3021
_cell_angle_alpha 90.00
_cell_angle_beta 93.83
_cell_angle_gamma 90.00
loop_
_atom_site_label
_atom_site_fract_x
_atom_site_fract_y
_atom_site_fract_z
_atom_site_occupancy
P1 0.0000 0.0000 0.0000 1
P2 0.3981 0.5000 0.9732 1
Ir1 0.8560 0.5000 0.7792 1
Cl1 0.7461 0.0000 0.5501 1
# Formation energy from raw total energies: -0.05 eV per atom


# PBE PIr2Cl, relaxed
data_PIr2Cl
_symmetry_space_group_name_H-M 'P 1'
_symmetry_Int_Tables_number 1
_symmetry_space_group_name_Hall 'P 1'
_cell_length_a 2.9088
_cell_length_b 2.9088
_cell_length_c 9.9981
_cell_angle_alpha 90.00
_cell_angle_beta 90.00
_cell_angle_gamma 123.09
loop_
_atom_site_label
_atom_site_fract_x
_atom_site_fract_y
_atom_site_fract_z
_atom_site_occupancy
P1 0.0000 0.0000 0.0000 1
Ir1 0.0000 0.0000 0.5719 1
Ir2 0.5000 0.5000 0.8076 1
Cl1 0.5000 0.5000 0.3739 1
# Formation energy from raw total energies: 0.42 eV per atom


# PBE P2IrCl, relaxed
data_P2IrCl
_symmetry_space_group_name_H-M 'P 1'
_symmetry_Int_Tables_number 1
_symmetry_space_group_name_Hall 'P 1'
_cell_length_a 4.3163
_cell_length_b 4.3163
_cell_length_c 6.6125
_cell_angle_alpha 101.48
_cell_angle_beta 101.48
_cell_angle_gamma 45.03
loop_
_atom_site_label
_atom_site_fract_x
_atom_site_fract_y
_atom_site_fract_z
_atom_site_occupancy
P1 0.0000 0.0000 0.0000 1
P2 0.2241 0.2241 0.2378 1
Ir1 0.7013 0.7013 0.9542 1
Cl1 0.6214 0.6214 0.5893 1
# Formation energy from raw total energies: -0.16 eV per atom


# PBE P2IrCl, relaxed
data_P2IrCl
_symmetry_space_group_name_H-M 'P 1'
_symmetry_Int_Tables_number 1
_symmetry_space_group_name_Hall 'P 1'
_cell_length_a 2.7318
_cell_length_b 3.5004
_cell_length_c 7.9249
_cell_angle_alpha 90.00
_cell_angle_beta 90.00
_cell_angle_gamma 90.00
loop_
_atom_site_label
_atom_site_fract_x
_atom_site_fract_y
_atom_site_fract_z
_atom_site_occupancy
P1 0.0000 0.0000 0.1587 1
P2 0.0000 0.0000 0.8413 1
Ir1 0.5000 0.5000 0.0000 1
Cl1 0.5000 0.5000 0.5000 1
# Formation energy from raw total energies: 0.17 eV per atom


# PBE PIr2Cl, relaxed
data_PIr2Cl
_symmetry_space_group_name_H-M 'P 1'
_symmetry_Int_Tables_number 1
_symmetry_space_group_name_Hall 'P 1'
_cell_length_a 5.1070
_cell_length_b 5.1070
_cell_length_c 6.3455
_cell_angle_alpha 91.45
_cell_angle_beta 91.45
_cell_angle_gamma 32.84
loop_
_atom_site_label
_atom_site_fract_x
_atom_site_fract_y
_atom_site_fract_z
_atom_site_occupancy
P1 0.0000 0.0000 0.0000 1
Ir1 0.3719 0.3719 0.2171 1
Ir2 0.6431 0.6431 0.1985 1
Cl1 0.2433 0.2433 0.5319 1
# Formation energy from raw total energies: 0.27 eV per atom


# PBE PIr2Cl, relaxed
data_PIr2Cl
_symmetry_space_group_name_H-M 'P 1'
_symmetry_Int_Tables_number 1
_symmetry_space_group_name_Hall 'P 1'
_cell_length_a 2.9074
_cell_length_b 3.5658
_cell_length_c 7.4179
_cell_angle_alpha 90.00
_cell_angle_beta 90.00
_cell_angle_gamma 90.00
loop_
_atom_site_label
_atom_site_fract_x
_atom_site_fract_y
_atom_site_fract_z
_atom_site_occupancy
P1 0.0000 0.0000 0.0000 1
Ir1 0.0000 0.0000 0.6870 1
Ir2 0.5000 0.5000 0.9024 1
Cl1 0.5000 0.5000 0.4693 1
# Formation energy from raw total energies: 0.31 eV per atom


# PBE P2IrCl, relaxed
data_P2IrCl
_symmetry_space_group_name_H-M 'P 1'
_symmetry_Int_Tables_number 1
_symmetry_space_group_name_Hall 'P 1'
_cell_length_a 4.3792
_cell_length_b 4.3792
_cell_length_c 4.3792
_cell_angle_alpha 60.00
_cell_angle_beta 60.00
_cell_angle_gamma 60.00
loop_
_atom_site_label
_atom_site_fract_x
_atom_site_fract_y
_atom_site_fract_z
_atom_site_occupancy
P1 0.2500 0.2500 0.2500 1
P2 0.7500 0.7500 0.7500 1
Ir1 0.0000 0.0000 0.0000 1
Cl1 0.5000 0.5000 0.5000 1
# Formation energy from raw total energies: 0.65 eV per atom